[1]
Cs4K2SiP2 after structural relaxation, computed with PBE. Values from VASP.

Cell and atoms, written as Quantum ESPRESSO input:
```
&SYSTEM
  ibrav = 0, nat = 9, ntyp = 4
/
ATOMIC_SPECIES
Cs 132.91 Cs.upf
K 39.10 K.upf
Si 28.09 Si.upf
P 30.97 P.upf
ATOMIC_POSITIONS crystal
Cs 0.267 0.653 0.144
Cs 0.733 0.856 0.347
Cs 0.733 0.347 0.856
Cs 0.267 0.144 0.653
K 0.978 0.759 0.759
K 0.022 0.241 0.241
Si 0.500 0.000 0.000
P 0.253 0.087 0.087
P 0.747 0.913 0.913
CELL_PARAMETERS angstrom
5.114 1.053 0.716
1.459 12.891 2.600
1.459 7.151 11.036
```

Computed properties:
As for the symmetry: C2/m, No. 12. As for the uncorrected formation energy: -0.113 eV per atom. The value obtained for the magnetic moment is 0.3 μB/f.u.

[2]
NaBiN after structural relaxation, computed with PBE. Values from VASP.

Cell and atoms, written as Quantum ESPRESSO input:
```
&SYSTEM
  ibrav = 0, nat = 6, ntyp = 3
/
ATOMIC_SPECIES
Na 22.99 Na.upf
Bi 208.98 Bi.upf
N 14.01 N.upf
ATOMIC_POSITIONS crystal
Na 0.735 0.231 0.507
Na 0.568 0.056 0.059
Bi 0.422 0.128 0.771
Bi 0.882 0.159 0.795
N 0.651 0.018 0.284
N 0.652 0.270 0.283
CELL_PARAMETERS angstrom
6.229 2.018 -0.106
2.024 4.008 0.951
0.834 4.842 10.402
```

Computed properties:
As for the symmetry: P-1, No. 2. As for the uncorrected formation energy: -0.064 eV per atom. The value obtained for the magnetic moment is 0.3 μB/f.u.

[3]
TiP2RuCl after structural relaxation, computed with PBE. Values from VASP.

Cell and atoms, written as Quantum ESPRESSO input:
```
&SYSTEM
  ibrav = 0, nat = 5, ntyp = 4
/
ATOMIC_SPECIES
Ru 101.07 Ru.upf
Cl 35.45 Cl.upf
P 30.97 P.upf
Ti 47.87 Ti.upf
ATOMIC_POSITIONS crystal
Ru 0.000 0.000 0.000
Cl 0.000 0.000 0.500
P 0.000 0.500 0.000
P 0.500 0.000 0.000
Ti 0.500 0.500 0.500
CELL_PARAMETERS angstrom
-2.525 3.606 -1.040
-3.743 -2.330 1.007
0.287 1.530 4.606
```

Computed properties:
As for the symmetry: P4/mmm, No. 123. As for the uncorrected formation energy: 0.500 eV per atom. The offset from the most stable computed form is 0 meV per atom. The value obtained for the magnetic moment is 0.0 μB/f.u.